DFT (PBE) results for a geometry-optimized K2LiBr structure.

As for the crystal system: monoclinic.

It has space group C2/m (No. 12), with a = 8.551 Å, b = 8.555 Å, c = 4.220 Å, α = 90.00°, β = 90.11° and γ = 90.00°. The inequivalent atoms are K at (0.250, 0.250, 0.000), Li at (0.000, 0.000, 0.500) and Br at (0.000, 0.500, 0.500).


DFT (PBE) results for a geometry-optimized KLi2Br structure.

As for the crystal system: tetragonal.

It has space group I4/mmm (No. 139), with a = 4.470 Å, b = 4.470 Å, c = 14.621 Å, α = 90.00°, β = 90.00° and γ = 90.00°. The inequivalent atoms are K at (0.000, 0.000, 0.000), Li at (0.000, 0.500, 0.250) and Br at (0.000, 0.000, 0.500).


DFT (PBE) results for a geometry-optimized KLi2Br structure.

As for the crystal system: monoclinic.

It has space group Pm (No. 6), with a = 4.279 Å, b = 3.964 Å, c = 7.548 Å, α = 90.00°, β = 106.25° and γ = 90.00°. The inequivalent atoms are K at (0.000, 0.000, 0.000), Li at (0.313, 0.500, 0.630), Li at (0.734, 0.000, 0.473) and Br at (0.618, 0.500, 0.238).


DFT (PBE) results for a geometry-optimized KLiBr structure.

As for the crystal system: monoclinic.

It has space group Cm (No. 8), with a = 7.192 Å, b = 4.191 Å, c = 7.478 Å, α = 90.00°, β = 108.53° and γ = 90.00°. The inequivalent atoms are K at (0.000, 0.000, 0.000), Li at (0.002, 0.500, 0.517) and Br at (0.283, 0.500, 0.356).


| no. | raw formation energy (kcal/mol of atoms) | excess energy over the best structure of this formula in the dataset (meV/atom) |
| --- | --- | --- |
| 1 | -14.210 | 95.0 |
| 2 | -12.055 | 147.2 |
| 3 | -15.283 | 7.2 |
| 4 | -21.721 | 32.1 |